Below is an optimized crystal structure of Mn4FeAs, with properties calculated at the GGA-PBEsol level.

**Calculated density**: 8.54 Mg/m³
**Magnetic moment**: 2.63 μB/f.u.
**Formation energy**: 0.371 eV per atom
**Crystal system**: cubic
**Space group**: F-43m, No. 216
**E**: -50.89 eV per cell

Structure (POSCAR):
```
Mn4FeAs
1.0
0.000 3.243 3.243
3.243 0.000 3.243
3.243 3.243 0.000
Mn Fe As
4 1 1
Cartesian
0.811 0.811 0.811
2.431 2.431 0.811
2.431 0.811 2.431
0.811 2.431 2.431
3.243 3.243 3.243
4.864 4.864 4.864
```